1.
# Tb6Ag5Bi, relaxed, DFT PBE
data_Tb6Ag5Bi
_chemical_formula_sum 'Tb12 Ag10 Bi2'
_space_group_name_H-M_alt 'I m m m'
_space_group_IT_number 71
_space_group_name_Hall '-I 2 2'
_cell_length_a 5.219
_cell_length_b 7.351
_cell_length_c 15.799
_cell_angle_alpha 90.00
_cell_angle_beta 90.00
_cell_angle_gamma 90.00
loop_
_atom_site_label
_atom_site_type_symbol
_atom_site_fract_x
_atom_site_fract_y
_atom_site_fract_z
_atom_site_occupancy
Tb1 Tb 0.000 0.240 0.000 1
Tb2 Tb 0.000 0.255 0.329 1
Ag1 Ag 0.000 0.000 0.166 1
Ag2 Ag 0.000 0.500 0.171 1
Ag3 Ag 0.000 0.500 0.500 1
Bi1 Bi 0.000 0.000 0.500 1
# Total moment (μB/atom): 0.000
# VASP energy (eV/atom): -4.19
# DFT formation energy (eV/atom): -0.361

2.
# TcAgBi2, relaxed, DFT PBE
data_TcAgBi2
_chemical_formula_sum 'Tc4 Ag4 Bi8'
_space_group_name_H-M_alt 'F m -3 m'
_space_group_IT_number 225
_space_group_name_Hall '-F 4 2 3'
_cell_length_a 7.117
_cell_length_b 7.117
_cell_length_c 7.117
_cell_angle_alpha 90.00
_cell_angle_beta 90.00
_cell_angle_gamma 90.00
loop_
_atom_site_label
_atom_site_type_symbol
_atom_site_fract_x
_atom_site_fract_y
_atom_site_fract_z
_atom_site_occupancy
Tc1 Tc 0.000 0.000 0.000 1
Ag1 Ag 0.000 0.000 0.500 1
Bi1 Bi 0.250 0.250 0.250 1
# Total moment (μB/atom): 0.399
# VASP energy (eV/atom): -4.69
# Polymorph energy (0 for the lowest one) (meV per atom): 0
# DFT formation energy (eV/atom): 0.558

3.
# Tc2Ag2Bi, relaxed, DFT PBE
data_Tc2Ag2Bi
_chemical_formula_sum 'Tc4 Ag4 Bi2'
_space_group_name_H-M_alt 'P 4/m b m'
_space_group_IT_number 127
_space_group_name_Hall '-P 4 2ab'
_cell_length_a 8.287
_cell_length_b 8.287
_cell_length_c 2.943
_cell_angle_alpha 90.00
_cell_angle_beta 90.00
_cell_angle_gamma 90.00
loop_
_atom_site_label
_atom_site_type_symbol
_atom_site_fract_x
_atom_site_fract_y
_atom_site_fract_z
_atom_site_occupancy
Tc1 Tc 0.094 0.406 0.000 1
Ag1 Ag 0.192 0.692 0.500 1
Bi1 Bi 0.000 0.000 0.500 1
# Total moment (μB/atom): 0.000
# VASP energy (eV/atom): -5.34
# Polymorph energy (0 for the lowest one) (meV per atom): 129
# DFT formation energy (eV/atom): 0.727

4.
# TcAg2Bi, relaxed, DFT PBE
data_TcAg2Bi
_chemical_formula_sum 'Tc4 Ag8 Bi4'
_space_group_name_H-M_alt 'I -4 2 d'
_space_group_IT_number 122
_space_group_name_Hall 'I -4 2bw'
_cell_length_a 7.898
_cell_length_b 7.898
_cell_length_c 5.435
_cell_angle_alpha 90.00
_cell_angle_beta 90.00
_cell_angle_gamma 90.00
loop_
_atom_site_label
_atom_site_type_symbol
_atom_site_fract_x
_atom_site_fract_y
_atom_site_fract_z
_atom_site_occupancy
Tc1 Tc 0.000 0.000 0.000 1
Ag1 Ag 0.233 0.250 0.125 1
Bi1 Bi 0.000 0.000 0.500 1
# Total moment (μB/atom): 0.306
# VASP energy (eV/atom): -4.27
# DFT formation energy (eV/atom): 0.722

5.
# Tc2Ag2Bi, relaxed, DFT PBE
data_Tc2Ag2Bi
_chemical_formula_sum 'Tc4 Ag4 Bi2'
_space_group_name_H-M_alt 'I 4/m m m'
_space_group_IT_number 139
_space_group_name_Hall '-I 4 2'
_cell_length_a 3.467
_cell_length_b 3.467
_cell_length_c 17.376
_cell_angle_alpha 90.00
_cell_angle_beta 90.00
_cell_angle_gamma 90.00
loop_
_atom_site_label
_atom_site_type_symbol
_atom_site_fract_x
_atom_site_fract_y
_atom_site_fract_z
_atom_site_occupancy
Tc1 Tc 0.000 0.500 0.250 1
Ag1 Ag 0.000 0.000 0.116 1
Bi1 Bi 0.000 0.000 0.500 1
# Total moment (μB/atom): 0.000
# VASP energy (eV/atom): -5.47
# Polymorph energy (0 for the lowest one) (meV per atom): 0
# DFT formation energy (eV/atom): 0.597

6.
# TcAgBi2, relaxed, DFT PBE
data_TcAgBi2
_chemical_formula_sum 'Tc4 Ag4 Bi8'
_space_group_name_H-M_alt 'I -4 2 d'
_space_group_IT_number 122
_space_group_name_Hall 'I -4 2bw'
_cell_length_a 6.603
_cell_length_b 6.603
_cell_length_c 11.774
_cell_angle_alpha 90.00
_cell_angle_beta 90.00
_cell_angle_gamma 90.00
loop_
_atom_site_label
_atom_site_type_symbol
_atom_site_fract_x
_atom_site_fract_y
_atom_site_fract_z
_atom_site_occupancy
Tc1 Tc 0.000 0.000 0.000 1
Ag1 Ag 0.000 0.000 0.500 1
Bi1 Bi 0.220 0.250 0.125 1
# Total moment (μB/atom): 0.000
# VASP energy (eV/atom): -4.47
# Polymorph energy (0 for the lowest one) (meV per atom): 212
# DFT formation energy (eV/atom): 0.771

What is the formula in the second record?
TcAgBi2